VASP calculation (GGA-PBE) on HgP after structural relaxation.

Unit cell a=4.6380 b=7.0419 c=9.4447 alpha=90.00 beta=90.00 gamma=90.00
Last column: nearest neighbours and their distance in Å.
Positions (direct):
Hg  0.0000  0.7694  0.8064  2 P 2.52-2.58
Hg  0.5000  0.2306  0.6936  2 P 2.52-2.58
Hg  0.5000  0.2306  0.3064  2 P 2.52-2.58
Hg  0.0000  0.7694  0.1936  2 P 2.52-2.58
Hg  0.0000  0.6139  0.5000  2 P 2.51
Hg  0.5000  0.3861  0.0000  2 P 2.51
P  0.0000  0.0266  0.6119  1 P 2.11
P  0.5000  0.9734  0.8881  1 P 2.11
P  0.5000  0.9734  0.1119  1 P 2.11
P  0.0000  0.0266  0.3881  1 P 2.11
P  0.0000  0.5229  0.0000  4 Hg 2.51-2.52
P  0.5000  0.4771  0.5000  4 Hg 2.51-2.52

Summary:
Space-group type   Pmmn (59)
Formation enthalpy at 0 K   0.30 eV per atom
Volume   25.7 Å³ per atom

VASP calculation (GGA-PBE) on Te2PtAu after structural relaxation.

Unit cell a=3.9441 b=5.0410 c=5.0431 alpha=72.34 beta=90.00 gamma=90.00
Last column: nearest neighbours and their distance in Å.
Positions (direct):
Au  0.5000  0.2500  0.2500  2 Pt 2.98, 4 Te 2.99
Pt  0.5000  0.7500  0.7500  4 Te 2.69, 2 Au 2.98
Te  0.0000  0.9743  0.9743  2 Pt 2.69, 2 Au 2.99, 2 Te 3.00-3.01
Te  0.0000  0.5257  0.5257  2 Pt 2.69, 2 Au 2.99, 2 Te 3.00-3.01

Summary:
Space-group type   Cmmm (65)
Volume   23.9 Å³ per atom
Energy relative to the elements, uncorrected   -73 meV per atom

VASP calculation (GGA-PBE) on ReWSe4 after structural relaxation.

Unit cell a=6.8164 b=5.7186 c=7.8753 alpha=104.14 beta=109.46 gamma=105.93
Last column: nearest neighbours and their distance in Å.
Positions (direct):
Re  0.6521  0.9021  0.8043  4 Se 2.42-2.44
Re  0.3479  0.0979  0.1957  4 Se 2.42-2.44
W  0.5493  0.2993  0.5986  6 Se 2.53-2.68, 1 Re 2.78
W  0.4507  0.7007  0.4014  6 Se 2.53-2.68, 1 Re 2.78
Se  0.0880  0.3080  0.1021  1 Re 2.42, 1 W 2.68
Se  0.1688  0.9263  0.3858  1 Re 2.44, 2 W 2.53-2.58
Se  0.5141  0.7941  0.1021  1 Re 2.42, 1 W 2.68
Se  0.7169  0.4595  0.3858  1 Re 2.44, 2 W 2.53-2.58
Se  0.2831  0.5405  0.6142  1 Re 2.44, 2 W 2.53-2.58
Se  0.4859  0.2059  0.8979  1 Re 2.42, 1 W 2.68
Se  0.8312  0.0737  0.6142  1 Re 2.44, 2 W 2.53-2.58
Se  0.9120  0.6920  0.8979  1 Re 2.42, 1 W 2.68

Summary:
Space-group type   C2/c (15)
Volume   21.5 Å³ per atom
Energy relative to the elements, uncorrected   -150 meV per atom

no.,DOS at the Fermi energy (states/eV/atom)
1,0.3699
2,0.3483
3,0.5997